DFT (PBE) results for crystalline Ac4Sm3ErSe8 at its relaxed geometry.

a = 14.7444 Å, b = 8.5118 Å, c = 8.7017 Å
α = 90.00°, β = 124.39°, γ = 90.00°
Closest atoms and distances in Å follow each position.
Space group C2/m (No. 12)
Unique sites:
Ac 0.0000 0.0000 0.0000 x2  6 Se 3.19-3.20
Ac 0.0000 0.5000 0.0000 x2  6 Se 3.13-3.14
Ac 0.2500 0.2500 0.0000 x4  6 Se 3.13-3.14
Sm 0.0000 0.0000 0.5000 x2  6 Se 2.96
Sm 0.2500 0.2500 0.5000 x4  6 Se 2.96
Er 0.0000 0.5000 0.5000 x2  6 Se 2.89-2.90
Se 0.0070 0.2552 0.2761 x8  1 Er 2.89, 2 Sm 2.96, 3 Ac 3.14-3.20
Se 0.2385 0.5000 0.7255 x4  1 Er 2.90, 2 Sm 2.96, 3 Ac 3.13-3.19
Se 0.2433 0.0000 0.7290 x4  3 Sm 2.96, 3 Ac 3.13-3.14

Computed properties:
E_form (uncorrected) (eV per atom): -1.817


DFT (PBE) results for crystalline Tb4Te5Se at its relaxed geometry.

a = 18.8854 Å, b = 4.3074 Å, c = 8.7148 Å
α = 90.00°, β = 103.62°, γ = 90.00°
Closest atoms and distances in Å follow each position.
Space group C2/m (No. 12)
Unique sites:
Tb 0.0026 0.0000 0.2502 x4  4 Te 2.97-3.07, 2 Se 3.06
Tb 0.1691 0.5000 0.0950 x4  5 Te 3.02-3.11, 1 Se 3.10
Te 0.0000 0.5000 0.5000 x2  4 Tb 3.07
Te 0.1644 0.0000 0.3352 x4  3 Tb 2.97-3.02
Te 0.1641 0.0000 0.8344 x4  4 Tb 3.06-3.11
Se 0.0000 0.5000 0.0000 x2  6 Tb 3.06-3.10

Computed properties:
E_form (uncorrected) (eV per atom): -1.410